DFT (PBE-GGA) results for Si2SnBiF after structural relaxation.

Calculated values
Energy relative to the elements, uncorrected: 0.22 eV/atom

Structure (CIF):
```
data_Si2SnBiF
_chemical_formula_sum 'Si2 Sn1 Bi1 F1'
_symmetry_space_group_name_H-M 'P 4/m m m'
_symmetry_Int_Tables_number 123
_symmetry_space_group_name_Hall '-P 4 2'
_cell_length_a 4.617
_cell_length_b 4.617
_cell_length_c 5.180
_cell_angle_alpha 90.00
_cell_angle_beta 90.00
_cell_angle_gamma 90.00
loop_
_atom_site_label
_atom_site_type_symbol
_atom_site_fract_x
_atom_site_fract_y
_atom_site_fract_z
Si1 Si 0.000 0.500 0.000
Sn1 Sn 0.000 0.000 0.500
Bi1 Bi 0.500 0.500 0.500
F1 F 0.500 0.500 0.000
```



DFT (PBE-GGA) results for SrSiBi2F after structural relaxation.

Calculated values
Energy relative to the elements, uncorrected: 0.82 eV/atom

Structure (CIF):
```
data_SrSiBi2F
_chemical_formula_sum 'Sr1 Si1 Bi2 F1'
_symmetry_space_group_name_H-M 'P 4/m m m'
_symmetry_Int_Tables_number 123
_symmetry_space_group_name_Hall '-P 4 2'
_cell_length_a 6.169
_cell_length_b 6.169
_cell_length_c 5.727
_cell_angle_alpha 90.00
_cell_angle_beta 90.00
_cell_angle_gamma 90.00
loop_
_atom_site_label
_atom_site_type_symbol
_atom_site_fract_x
_atom_site_fract_y
_atom_site_fract_z
Sr1 Sr 0.000 0.000 0.000
Si1 Si 0.000 0.000 0.500
Bi1 Bi 0.000 0.500 0.000
F1 F 0.500 0.500 0.500
```



DFT (PBE-GGA) results for TaSi2BiF after structural relaxation.

Calculated values
Energy relative to the elements, uncorrected: -0.23 eV/atom

Structure (CIF):
```
data_TaSi2BiF
_chemical_formula_sum 'Ta1 Si2 Bi1 F1'
_symmetry_space_group_name_H-M 'P 4/m m m'
_symmetry_Int_Tables_number 123
_symmetry_space_group_name_Hall '-P 4 2'
_cell_length_a 5.073
_cell_length_b 5.073
_cell_length_c 4.060
_cell_angle_alpha 90.00
_cell_angle_beta 90.00
_cell_angle_gamma 90.00
loop_
_atom_site_label
_atom_site_type_symbol
_atom_site_fract_x
_atom_site_fract_y
_atom_site_fract_z
Ta1 Ta 0.000 0.000 0.000
Si1 Si 0.000 0.500 0.000
Bi1 Bi 0.500 0.500 0.500
F1 F 0.000 0.000 0.500
```